No. 1
Computed, not measured: a relaxed structure of LiNi3Ag at the PBE-GGA level of DFT.

## Properties
**Energy**: -0.1355 hartree per atom
**Energy above the lowest structure with this stoichiometry**: 0.000 eV/atom
**ΔH_f (0 K)**: 736 meV per atom
**SG**: No. 221

Cell and atoms, written as extended XYZ:
```
5
Lattice="3.999 0.000 0.000 0.000 3.999 0.000 0.000 0.000 3.999" Properties=species:S:1:pos:R:3 pbc="T T T"
Li 0.000 0.000 0.000
Ni 0.000 0.000 1.999
Ni 0.000 1.999 0.000
Ni 1.999 0.000 0.000
Ag 1.999 1.999 1.999
```

No. 2
Computed, not measured: a relaxed structure of Li9Ni4Ag at the PBE-GGA level of DFT.

## Properties
**Energy**: -0.1143 hartree per atom
**ΔH_f (0 K)**: -25 meV per atom
**SG**: No. 194

Cell and atoms, written as extended XYZ:
```
28
Lattice="7.925 0.000 0.000 -3.963 6.863 0.000 0.000 0.000 7.944" Properties=species:S:1:pos:R:3 pbc="T T T"
Li -1.465 3.730 1.986
Li 0.000 2.505 4.418
Li 0.000 2.505 7.498
Li -1.793 5.611 4.418
Li -1.793 5.611 7.498
Li 2.169 1.252 0.446
Li 2.169 1.252 3.526
Li 1.465 3.730 1.986
Li 0.000 6.267 1.986
Li 3.963 0.597 5.958
Li 2.498 3.133 5.958
Li 1.793 5.611 4.418
Li 1.793 5.611 7.498
Li 5.756 1.252 0.446
Li 5.756 1.252 3.526
Li 3.963 4.358 0.446
Li 3.963 4.358 3.526
Li 5.427 3.133 5.958
Ni 0.000 0.000 0.000
Ni 0.000 0.000 3.972
Ni 0.000 1.387 1.986
Ni -2.761 6.170 1.986
Ni 1.201 0.694 5.958
Ni 2.761 6.170 1.986
Ni 6.724 0.694 5.958
Ni 3.963 5.476 5.958
Ag 0.000 4.576 5.958
Ag 3.963 2.288 1.986
```

No. 3
Computed, not measured: a relaxed structure of LiNiAg2 at the PBE-GGA level of DFT.

## Properties
**Energy**: -0.1206 hartree per atom
**ΔH_f (0 K)**: 67 meV per atom
**SG**: No. 12

Cell and atoms, written as extended XYZ:
```
8
Lattice="8.953 0.000 0.000 0.000 2.781 0.000 -0.775 0.000 4.924" Properties=species:S:1:pos:R:3 pbc="T T T"
Li 0.000 0.000 0.000
Li 4.476 1.391 0.000
Ni -0.388 1.391 2.462
Ni 4.089 0.000 2.462
Ag 1.589 0.000 3.669
Ag 2.112 1.391 1.255
Ag 6.065 1.391 3.669
Ag 6.589 0.000 1.255
```

No. 4
Computed, not measured: a relaxed structure of LiNi2Ag at the PBE-GGA level of DFT.

## Properties
**Energy**: -0.1425 hartree per atom
**ΔH_f (0 K)**: 204 meV per atom
**SG**: No. 65

Cell and atoms, written as extended XYZ:
```
8
Lattice="2.759 0.000 0.000 0.000 4.423 0.000 0.000 0.000 8.750" Properties=species:S:1:pos:R:3 pbc="T T T"
Li 0.000 0.000 0.000
Li 1.380 2.212 0.000
Ni 0.000 2.212 2.075
Ni 0.000 2.212 6.676
Ni 1.380 0.000 2.075
Ni 1.380 0.000 6.676
Ag 0.000 0.000 4.375
Ag 1.380 2.212 4.375
```

No. 5
Computed, not measured: a relaxed structure of LiNiAg at the PBE-GGA level of DFT.

## Properties
**Energy**: -0.1270 hartree per atom
**Energy above the lowest structure with this stoichiometry**: 0.000 eV/atom
**ΔH_f (0 K)**: 60 meV per atom
**SG**: No. 156

Cell and atoms, written as extended XYZ:
```
3
Lattice="4.255 0.000 0.000 -2.128 3.685 0.000 0.000 0.000 2.657" Properties=species:S:1:pos:R:3 pbc="T T T"
Li 0.000 0.000 0.000
Ni 2.128 1.228 0.546
Ag 0.000 2.457 1.696
```

No. 6
Computed, not measured: a relaxed structure of LiNi2Ag at the PBE-GGA level of DFT.

## Properties
**Energy**: -0.1440 hartree per atom
**ΔH_f (0 K)**: 164 meV per atom
**SG**: No. 166

Cell and atoms, written as extended XYZ:
```
12
Lattice="2.649 0.000 0.000 -1.324 2.294 0.000 0.000 0.000 26.181" Properties=species:S:1:pos:R:3 pbc="T T T"
Li 0.000 0.000 0.000
Li 0.000 1.529 17.454
Li 1.324 0.765 8.727
Ni 0.000 0.000 6.646
Ni 0.000 0.000 19.534
Ni 0.000 1.529 10.808
Ni 0.000 1.529 24.100
Ni 1.324 0.765 2.081
Ni 1.324 0.765 15.373
Ag 0.000 0.000 13.090
Ag 0.000 1.529 4.363
Ag 1.324 0.765 21.817
```

No. 7
Computed, not measured: a relaxed structure of Li5NiAg6 at the PBE-GGA level of DFT.

## Properties
**Energy**: -0.1046 hartree per atom
**ΔH_f (0 K)**: -141 meV per atom
**SG**: No. 71

Cell and atoms, written as extended XYZ:
```
12
Lattice="-2.249 3.112 6.714 2.249 -3.112 6.714 2.249 3.112 -6.714" Properties=species:S:1:pos:R:3 pbc="T T T"
Li 0.000 0.000 0.000
Li 2.249 0.000 2.246
Li 0.000 0.000 4.502
Li 0.000 0.000 8.926
Li 0.000 3.112 4.468
Ni 0.000 3.112 0.000
Ag 2.249 -1.539 4.514
Ag 2.249 1.586 0.000
Ag 0.000 1.572 2.200
Ag 2.249 1.539 4.514
Ag 0.000 1.525 6.714
Ag 0.000 4.651 2.200
```

No. 8
Computed, not measured: a relaxed structure of LiNiAg4 at the PBE-GGA level of DFT.

## Properties
**Energy**: -0.1067 hartree per atom
**ΔH_f (0 K)**: 279 meV per atom
**SG**: No. 216

Cell and atoms, written as extended XYZ:
```
6
Lattice="0.000 3.827 3.827 3.827 0.000 3.827 3.827 3.827 0.000" Properties=species:S:1:pos:R:3 pbc="T T T"
Li 0.000 0.000 0.000
Ni 5.741 5.741 5.741
Ag 2.872 2.872 2.872
Ag 4.783 4.783 2.872
Ag 4.783 2.872 4.783
Ag 2.872 4.783 4.783
```